15
Lattice="4.980 2.875 9.061 -4.980 2.875 9.061 0.000 -5.750 9.061" Properties=species:S:1:pos:R:3 comment="PBE Cs3Ba3UTe8, relaxed" e_form_raw_ev_per_fu=-17.2 dos_at_fermi_per_ev_atom=1.0797 pbc="T T T"
Cs -2.490 -1.438 9.061
Cs -2.490 1.438 18.121
Cs 0.000 2.875 9.061
Ba -4.980 0.000 13.591
Ba -2.490 1.438 4.530
Ba 2.490 1.438 4.530
U 0.000 0.000 13.591
Te 0.000 0.000 6.462
Te -2.098 -1.211 15.275
Te 0.000 -2.423 11.907
Te -2.098 1.211 11.907
Te 2.098 -1.211 15.275
Te 0.000 2.423 15.275
Te 2.098 1.211 11.907
Te 0.000 0.000 20.720